No. 1
The following is a DFT calculation (PBE) of crystalline CsRb2Ag2Cl7 at its relaxed geometry.

Computed properties:
Raw formation energy ... -1207 meV per atom
Crystal system ... tetragonal
V ... 30.06 Å³/atom
SG ... I4/mmm (139)

a = 13.782 Å, b = 13.782 Å, c = 13.782 Å
α = 158.20°, β = 158.20°, γ = 31.02°
Element x y z (fractional)
Cs1 0.000 0.000 0.000
Rb1 0.181 0.181 0.000
Rb2 0.819 0.819 0.000
Ag1 0.403 0.403 0.000
Ag2 0.597 0.597 0.000
Cl1 0.096 0.596 0.500
Cl2 0.306 0.306 0.000
Cl3 0.404 0.904 0.500
Cl4 0.500 0.500 0.000
Cl5 0.596 0.096 0.500
Cl6 0.694 0.694 0.000
Cl7 0.904 0.404 0.500

No. 2
The following is a DFT calculation (PBE) of crystalline SrLaMn2 at its relaxed geometry.

Computed properties:
ΔE_f ... 681.9 meV per atom
Crystal system ... cubic
V ... 25.45 Å³/atom
SG ... F-43m (216)

a = 5.241 Å, b = 5.241 Å, c = 5.241 Å
α = 60.00°, β = 60.00°, γ = 60.00°
Element x y z (fractional)
Sr1 0.000 0.000 0.000
La1 0.750 0.750 0.750
Mn1 0.250 0.250 0.250
Mn2 0.500 0.500 0.500

No. 3
The following is a DFT calculation (PBE) of crystalline Sr3ZnCu2 at its relaxed geometry.

Computed properties:
ΔE_f ... -100.8 meV per atom
Crystal system ... orthorhombic
V ... 30.04 Å³/atom
SG ... Pnma (62)

a = 12.524 Å, b = 4.469 Å, c = 12.882 Å
α = 90.00°, β = 90.00°, γ = 90.00°
Element x y z (fractional)
Sr1 0.059 0.250 0.124
Sr2 0.121 0.750 0.559
Sr3 0.204 0.250 0.805
Sr4 0.296 0.750 0.305
Sr5 0.379 0.250 0.059
Sr6 0.441 0.750 0.624
Sr7 0.559 0.250 0.376
Sr8 0.621 0.750 0.941
Sr9 0.704 0.250 0.695
Sr10 0.796 0.750 0.195
Sr11 0.879 0.250 0.441
Sr12 0.941 0.750 0.876
Zn1 0.124 0.250 0.368
Zn2 0.376 0.750 0.868
Zn3 0.624 0.250 0.132
Zn4 0.876 0.750 0.632
Cu1 0.037 0.750 0.319
Cu2 0.203 0.750 0.984
Cu3 0.297 0.250 0.484
Cu4 0.463 0.250 0.819
Cu5 0.537 0.750 0.181
Cu6 0.703 0.750 0.516
Cu7 0.797 0.250 0.016
Cu8 0.963 0.250 0.681